<i>
This record from the Alexandria database describes a relaxed structure of HoHf2Fe. The functional is PBE.

SG ... P4/mmm (123)
Density ... 11.5 g cm⁻³

Cell lengths 3.2174, 3.2174, 8.0846 Å; angles 90.00, 90.00, 90.00 degrees
Fractional positions:
Ho: 0.0000 0.0000 0.0000
Hf: 0.5000 0.5000 0.3150
Hf: 0.5000 0.5000 0.6850
Fe: 0.0000 0.0000 0.5000

<ii>
This record from the Alexandria database describes a relaxed structure of HoHf2Fe. The functional is PBE.

SG ... R-3m (166)
Density ... 10.8 g cm⁻³

Cell lengths 10.0942, 10.0942, 10.0942 Å; angles 18.36, 18.36, 18.36 degrees
Fractional positions:
Ho: 0.0000 0.0000 0.0000
Hf: 0.1076 0.1076 0.1076
Hf: 0.8924 0.8924 0.8924
Fe: 0.5000 0.5000 0.5000

Which one is most stable, and which one is least stable? <i> is the most stable of them, while <ii> is the least stable.

<i>
This record from the Alexandria database describes a relaxed structure of HfFeI2. The functional is PBE.

SG ... I-42d (122)
Density ... 7.4 g cm⁻³

Cell lengths 7.1368, 7.1368, 7.1368 Å; angles 128.11, 128.11, 76.44 degrees
Fractional positions:
Hf: 0.0000 0.0000 0.0000
Hf: 0.7500 0.2500 0.5000
Fe: 0.2500 0.7500 0.5000
Fe: 0.5000 0.5000 0.0000
I: 0.1731 0.6250 0.0481
I: 0.3750 0.4231 0.5481
I: 0.5769 0.1250 0.9519
I: 0.8750 0.8269 0.4519

<ii>
This record from the Alexandria database describes a relaxed structure of HfFeI2. The functional is PBE.

SG ... Fm-3m (225)
Density ... 9.8 g cm⁻³

Cell lengths 4.8897, 4.8897, 4.8897 Å; angles 60.00, 60.00, 60.00 degrees
Fractional positions:
Hf: 0.0000 0.0000 0.0000
Fe: 0.5000 0.5000 0.5000
I: 0.2500 0.2500 0.2500
I: 0.7500 0.7500 0.7500

Which one is most stable, and which one is least stable? <ii> is the most stable of them, while <i> is the least stable.

<i>
This record from the Alexandria database describes a relaxed structure of HfFe3I. The functional is PBE.

SG ... Pm-3m (221)
Density ... 7.2 g cm⁻³

Cell lengths 4.7682, 4.7682, 4.7682 Å; angles 90.00, 90.00, 90.00 degrees
Fractional positions:
Hf: 0.0000 0.0000 0.0000
Fe: 0.0000 0.0000 0.5000
Fe: 0.0000 0.5000 0.0000
Fe: 0.5000 0.0000 0.0000
I: 0.5000 0.5000 0.5000

<ii>
This record from the Alexandria database describes a relaxed structure of HfFe3I. The functional is PBE.

SG ... Pm-3m (221)
Density ... 8.3 g cm⁻³

Cell lengths 4.5498, 4.5498, 4.5498 Å; angles 90.00, 90.00, 90.00 degrees
Fractional positions:
Hf: 0.0000 0.0000 0.0000
Fe: 0.0000 0.5000 0.5000
Fe: 0.5000 0.0000 0.5000
Fe: 0.5000 0.5000 0.0000
I: 0.5000 0.5000 0.5000

Which one is most stable, and which one is least stable? <ii> is the most stable of them, while <i> is the least stable.

<i>
This record from the Alexandria database describes a relaxed structure of Hf2FeI. The functional is PBE.

SG ... Fm-3m (225)
Density ... 11.5 g cm⁻³

Cell lengths 4.7935, 4.7935, 4.7935 Å; angles 60.00, 60.00, 60.00 degrees
Fractional positions:
Hf: 0.2500 0.2500 0.2500
Hf: 0.7500 0.7500 0.7500
Fe: 0.0000 0.0000 0.0000
I: 0.5000 0.5000 0.5000

<ii>
This record from the Alexandria database describes a relaxed structure of Hf2FeI. The functional is PBE.

SG ... I-42d (122)
Density ... 8.0 g cm⁻³

Cell lengths 7.4427, 7.4427, 7.4427 Å; angles 132.00, 132.00, 70.22 degrees
Fractional positions:
Hf: 0.0242 0.6250 0.8992
Hf: 0.3750 0.2742 0.3992
Hf: 0.7258 0.1250 0.1008
Hf: 0.8750 0.9758 0.6008
Fe: 0.0000 0.0000 0.0000
Fe: 0.7500 0.2500 0.5000
I: 0.2500 0.7500 0.5000
I: 0.5000 0.5000 0.0000

Which one is most stable, and which one is least stable? <i> is the most stable of them, while <ii> is the least stable.